1.
## KGaS2 (PBEsol)

Data for crystalline KGaS2 at its relaxed geometry.

Calculated values
Space-group type: I-42d (122)
Formation energy (no corrections) (eV per formula unit): -4.1

Cell lengths 6.4021, 6.4021, 6.4021 Å; angles 114.91, 114.91, 99.07 degrees
Last column: nearest neighbours and their distance in Å.
Fractional positions:
1 K 0.0000 0.0000 0.0000  4 S 3.10
2 K 0.7500 0.2500 0.5000  4 S 3.10
3 Ga 0.2500 0.7500 0.5000  4 S 2.28
4 Ga 0.5000 0.5000 0.0000  4 S 2.28
5 S 0.2184 0.1250 0.5934  2 Ga 2.28
6 S 0.3750 0.7816 0.9066  2 Ga 2.28
7 S 0.5316 0.6250 0.4066  2 Ga 2.28
8 S 0.8750 0.4684 0.0934  2 Ga 2.28


2.
## KGaSi2S (PBEsol)

Data for crystalline KGaSi2S at its relaxed geometry.

Calculated values
Space-group type: P4/mmm (123)
Formation energy (no corrections) (eV per formula unit): 8.1

Cell lengths 5.3348, 5.3348, 5.2492 Å; angles 90.00, 90.00, 90.00 degrees
Last column: nearest neighbours and their distance in Å.
Fractional positions:
1 K 0.0000 0.0000 0.0000  2 S 2.62, 4 Si 2.67
2 Ga 0.5000 0.5000 0.5000  8 Si 3.74, 4 S 3.77
3 Si 0.0000 0.5000 0.0000  2 K 2.67
4 Si 0.5000 0.0000 0.0000  2 K 2.67
5 S 0.0000 0.0000 0.5000  2 K 2.62


3.
## K2Ga2Sb3 (PBEsol)

Data for crystalline K2Ga2Sb3 at its relaxed geometry.

Calculated values
Space-group type: P2_1/c (14)
Formation energy (no corrections) (eV per formula unit): -2.4

Cell lengths 14.7261, 7.1566, 16.5439 Å; angles 90.00, 90.54, 90.00 degrees
Last column: nearest neighbours and their distance in Å.
Fractional positions:
1 K 0.0559 0.0429 0.1078  3 Sb 3.34-3.46, 2 Ga 3.40
2 K 0.0559 0.4571 0.6078  3 Sb 3.34-3.46, 2 Ga 3.40
3 K 0.1519 0.5368 0.0201  6 Sb 3.41-3.80, 1 Ga 3.64
4 K 0.1519 0.9632 0.5201  6 Sb 3.41-3.80, 1 Ga 3.64
5 K 0.3571 0.0216 0.0081  6 Sb 3.42-3.65, 1 Ga 3.57
6 K 0.3571 0.4784 0.5081  6 Sb 3.42-3.65, 1 Ga 3.57
7 K 0.4269 0.5243 0.1127  2 Ga 3.37-3.45, 5 Sb 3.51-3.76
8 K 0.4269 0.9757 0.6127  2 Ga 3.37-3.45, 5 Sb 3.51-3.76
9 K 0.5731 0.0243 0.3873  2 Ga 3.37-3.45, 5 Sb 3.51-3.76
10 K 0.5731 0.4757 0.8873  2 Ga 3.37-3.45, 5 Sb 3.51-3.76
11 K 0.6429 0.5216 0.4919  6 Sb 3.42-3.65, 1 Ga 3.57
12 K 0.6429 0.9784 0.9919  6 Sb 3.42-3.65, 1 Ga 3.57
13 K 0.8481 0.0368 0.4799  6 Sb 3.41-3.80, 1 Ga 3.64
14 K 0.8481 0.4632 0.9799  6 Sb 3.41-3.80, 1 Ga 3.64
15 K 0.9441 0.5429 0.3922  3 Sb 3.34-3.46, 2 Ga 3.40
16 K 0.9441 0.9571 0.8922  3 Sb 3.34-3.46, 2 Ga 3.40
17 Ga 0.0930 0.7312 0.2595  4 Sb 2.70-2.75
18 Ga 0.0930 0.7688 0.7595  4 Sb 2.70-2.75
19 Ga 0.1846 0.2140 0.3310  4 Sb 2.65-2.77
20 Ga 0.1846 0.2860 0.8310  4 Sb 2.65-2.77
21 Ga 0.3191 0.7282 0.3240  4 Sb 2.65-2.72
22 Ga 0.3191 0.7718 0.8240  4 Sb 2.65-2.72
23 Ga 0.4081 0.2094 0.2700  4 Sb 2.68-2.71
24 Ga 0.4081 0.2906 0.7700  4 Sb 2.68-2.71
25 Ga 0.5919 0.7094 0.2300  4 Sb 2.68-2.71
26 Ga 0.5919 0.7906 0.7300  4 Sb 2.68-2.71
27 Ga 0.6809 0.2282 0.1760  4 Sb 2.65-2.72
28 Ga 0.6809 0.2718 0.6760  4 Sb 2.65-2.72
29 Ga 0.8154 0.7140 0.1690  4 Sb 2.65-2.77
30 Ga 0.8154 0.7860 0.6690  4 Sb 2.65-2.77
31 Ga 0.9070 0.2312 0.2405  4 Sb 2.70-2.75
32 Ga 0.9070 0.2688 0.7405  4 Sb 2.70-2.75
33 Sb 0.0241 0.0325 0.3353  3 Ga 2.70-2.72
34 Sb 0.0241 0.4675 0.8353  3 Ga 2.70-2.72
35 Sb 0.1710 0.5584 0.3880  3 Ga 2.65-2.72
36 Sb 0.1710 0.9416 0.8880  3 Ga 2.65-2.72
37 Sb 0.2491 0.6825 0.6777  2 Ga 2.70-2.75, 1 Sb 2.87
38 Sb 0.2491 0.8175 0.1777  2 Ga 2.70-2.75, 1 Sb 2.87
39 Sb 0.2524 0.2187 0.1818  2 Ga 2.67-2.71, 1 Sb 2.87
40 Sb 0.2524 0.2813 0.6818  2 Ga 2.67-2.71, 1 Sb 2.87
41 Sb 0.3360 0.0499 0.4020  3 Ga 2.65-2.77
42 Sb 0.3360 0.4501 0.9020  3 Ga 2.65-2.77
43 Sb 0.4752 0.5322 0.3277  3 Ga 2.68-2.69
44 Sb 0.4752 0.9678 0.8277  3 Ga 2.68-2.69
45 Sb 0.5248 0.0322 0.1723  3 Ga 2.68-2.69
46 Sb 0.5248 0.4678 0.6723  3 Ga 2.68-2.69
47 Sb 0.6640 0.5499 0.0980  3 Ga 2.65-2.77
48 Sb 0.6640 0.9501 0.5980  3 Ga 2.65-2.77
49 Sb 0.7476 0.7187 0.3182  2 Ga 2.67-2.71, 1 Sb 2.87
50 Sb 0.7476 0.7813 0.8182  2 Ga 2.67-2.71, 1 Sb 2.87
51 Sb 0.7509 0.1825 0.8223  2 Ga 2.70-2.75, 1 Sb 2.87
52 Sb 0.7509 0.3175 0.3223  2 Ga 2.70-2.75, 1 Sb 2.87
53 Sb 0.8290 0.0584 0.1120  3 Ga 2.65-2.72
54 Sb 0.8290 0.4416 0.6120  3 Ga 2.65-2.72
55 Sb 0.9759 0.5325 0.1647  3 Ga 2.70-2.72
56 Sb 0.9759 0.9675 0.6647  3 Ga 2.70-2.72


4.
## K2GaSb2 (PBEsol)

Data for crystalline K2GaSb2 at its relaxed geometry.

Calculated values
Space-group type: Pnma (62)
Formation energy (no corrections) (eV per formula unit): -2.0

Cell lengths 14.9685, 10.3259, 9.0385 Å; angles 90.00, 90.00, 90.00 degrees
Last column: nearest neighbours and their distance in Å.
Fractional positions:
1 K 0.0156 0.0256 0.2292  6 Sb 3.59-3.87, 2 Ga 3.70-3.78, 1 K 3.95
2 K 0.0156 0.4744 0.2292  6 Sb 3.59-3.87, 2 Ga 3.70-3.78, 1 K 3.95
3 K 0.2345 0.5278 0.5881  5 Sb 3.45-3.63, 3 Ga 3.55-3.72
4 K 0.2345 0.9722 0.5881  5 Sb 3.45-3.63, 3 Ga 3.55-3.72
5 K 0.2655 0.0278 0.0881  5 Sb 3.45-3.63, 3 Ga 3.55-3.72
6 K 0.2655 0.4722 0.0881  5 Sb 3.45-3.63, 3 Ga 3.55-3.72
7 K 0.4844 0.5256 0.7292  6 Sb 3.59-3.87, 2 Ga 3.70-3.78, 1 K 3.95
8 K 0.4844 0.9744 0.7292  6 Sb 3.59-3.87, 2 Ga 3.70-3.78, 1 K 3.95
9 K 0.5156 0.0256 0.2708  6 Sb 3.59-3.87, 2 Ga 3.70-3.78, 1 K 3.95
10 K 0.5156 0.4744 0.2708  6 Sb 3.59-3.87, 2 Ga 3.70-3.78, 1 K 3.95
11 K 0.7345 0.5278 0.9119  5 Sb 3.45-3.63, 3 Ga 3.55-3.72
12 K 0.7345 0.9722 0.9119  5 Sb 3.45-3.63, 3 Ga 3.55-3.72
13 K 0.7655 0.0278 0.4119  5 Sb 3.45-3.63, 3 Ga 3.55-3.72
14 K 0.7655 0.4722 0.4119  5 Sb 3.45-3.63, 3 Ga 3.55-3.72
15 K 0.9844 0.5256 0.7708  6 Sb 3.59-3.87, 2 Ga 3.70-3.78, 1 K 3.95
16 K 0.9844 0.9744 0.7708  6 Sb 3.59-3.87, 2 Ga 3.70-3.78, 1 K 3.95
17 Ga 0.0944 0.2500 0.5818  3 Sb 2.57-2.58
18 Ga 0.1793 0.7500 0.2774  3 Sb 2.60-2.64
19 Ga 0.3207 0.2500 0.7774  3 Sb 2.60-2.64
20 Ga 0.4056 0.7500 0.0818  3 Sb 2.57-2.58
21 Ga 0.5944 0.2500 0.9182  3 Sb 2.57-2.58
22 Ga 0.6793 0.7500 0.2226  3 Sb 2.60-2.64
23 Ga 0.8207 0.2500 0.7226  3 Sb 2.60-2.64
24 Ga 0.9056 0.7500 0.4182  3 Sb 2.57-2.58
25 Sb 0.0700 0.7500 0.5030  2 Ga 2.58-2.61
26 Sb 0.1262 0.7500 0.0039  1 Ga 2.60, 1 Sb 2.85
27 Sb 0.1502 0.2500 0.8510  2 Ga 2.57-2.64
28 Sb 0.2037 0.2500 0.3615  1 Ga 2.58, 1 Sb 2.85
29 Sb 0.2963 0.7500 0.8615  1 Ga 2.58, 1 Sb 2.85
30 Sb 0.3498 0.7500 0.3510  2 Ga 2.57-2.64
31 Sb 0.3738 0.2500 0.5039  1 Ga 2.60, 1 Sb 2.85
32 Sb 0.4300 0.2500 0.0030  2 Ga 2.58-2.61
33 Sb 0.5700 0.7500 0.9970  2 Ga 2.58-2.61
34 Sb 0.6262 0.7500 0.4961  1 Ga 2.60, 1 Sb 2.85
35 Sb 0.6502 0.2500 0.6490  2 Ga 2.57-2.64
36 Sb 0.7037 0.2500 0.1385  1 Ga 2.58, 1 Sb 2.85
37 Sb 0.7963 0.7500 0.6385  1 Ga 2.58, 1 Sb 2.85
38 Sb 0.8498 0.7500 0.1490  2 Ga 2.57-2.64
39 Sb 0.8738 0.2500 0.9961  1 Ga 2.60, 1 Sb 2.85
40 Sb 0.9300 0.2500 0.4970  2 Ga 2.58-2.61


5.
## KGaSb2Te (PBEsol)

Data for crystalline KGaSb2Te at its relaxed geometry.

Calculated values
Space-group type: P4/mmm (123)
Formation energy (no corrections) (eV per formula unit): 5.4

Cell lengths 5.7204, 5.7204, 5.8334 Å; angles 90.00, 90.00, 90.00 degrees
Last column: nearest neighbours and their distance in Å.
Fractional positions:
1 K 0.0000 0.0000 0.0000  4 Sb 2.86, 2 Te 2.92
2 Ga 0.5000 0.5000 0.5000  4 Te 4.04, 8 Sb 4.09
3 Sb 0.0000 0.5000 0.0000  2 K 2.86
4 Sb 0.5000 0.0000 0.0000  2 K 2.86
5 Te 0.0000 0.0000 0.5000  2 K 2.92


6.
## KSc3Ga (PBEsol)

Data for crystalline KSc3Ga at its relaxed geometry.

Calculated values
Space-group type: Pm-3m (221)
Energy of formation (eV per formula unit): 6.3

Cell lengths 4.7782, 4.7782, 4.7782 Å; angles 90.00, 90.00, 90.00 degrees
Last column: nearest neighbours and their distance in Å.
Fractional positions:
1 K 0.0000 0.0000 0.0000  6 Sc 2.39
2 Sc 0.0000 0.0000 0.5000  2 K 2.39
3 Sc 0.0000 0.5000 0.0000  2 K 2.39
4 Sc 0.5000 0.0000 0.0000  2 K 2.39
5 Ga 0.5000 0.5000 0.5000  12 Sc 3.38